Entry from Alexandria via LeMat-Bulk: an optimized crystal structure of CdTeAu2 (PBE).

Properties
The value obtained for the formation energy (no corrections) is 0.02 eV per atom. The value obtained for the raw total energy is -2.632 eV/atom. For the excess energy over the best structure of this formula in the dataset, the calculation gives 0.101 eV per atom. Its volume is 186.14 Å³/cell. For the spin magnetization, the calculation gives 0.00 μB per cell.

abc: 10.2813 10.2813 10.2813
angles: 155.54 155.54 34.87
Element x y z (fractional)
Cd: 0.0000 0.0000 0.0000
Cd: 0.7500 0.2500 0.5000
Te: 0.2500 0.7500 0.5000
Te: 0.5000 0.5000 0.0000
Au: 0.1067 0.6250 0.9817
Au: 0.3750 0.3567 0.4817
Au: 0.6433 0.1250 0.0183
Au: 0.8750 0.8933 0.5183